Record 1
PBE PrSmIr, relaxed; Fermi-level density of states = 2.78 states/eV per cell; distance to the lowest polymorph of the same formula = 0 meV per atom; calculated formation energy = -533 meV per atom; size of the total moment = 0.00 μB/f.u.; energy = -0.4890 Ry per atom; density = 9.37 g/cm³
1.0
-3.710 0.318 -3.258
0.336 -2.307 -4.364
-2.821 -3.957 -0.930
Pr Ir Sm
1 1 1
Cartesian
0.000 0.000 0.000
-1.549 -1.487 -2.138
-3.097 -2.973 -4.276

=====

Record 2
PBE PrSmTlIr, relaxed; Fermi-level density of states = 3.66 states/eV per cell; calculated formation energy = -359 meV per atom; size of the total moment = 0.00 μB/f.u.; energy = -0.4072 Ry per atom; density = 11.15 g/cm³
1.0
5.252 0.000 0.000
2.626 4.549 0.000
2.626 1.516 4.289
Pr Tl Ir Sm
1 1 1 1
Cartesian
7.879 4.549 3.216
0.000 0.000 0.000
5.252 3.032 2.144
2.626 1.516 1.072

=====

Record 3
PBE Pr3SnIr, relaxed; Fermi-level density of states = 16.13 states/eV per cell; distance to the lowest polymorph of the same formula = 16 meV per atom; calculated formation energy = -531 meV per atom; size of the total moment = 0.00 μB/f.u.; energy = -0.4389 Ry per atom; density = 8.41 g/cm³
1.0
6.180 -0.212 -2.507
-1.311 8.588 -3.959
-0.437 -0.185 11.256
Pr Sn Ir
12 4 4
Cartesian
-0.459 6.775 4.125
2.542 7.256 2.601
1.891 0.935 2.189
4.892 1.416 0.665
-0.265 6.217 -0.103
3.072 4.495 -0.612
1.360 3.696 5.401
4.697 1.974 4.892
-0.129 2.416 -0.431
2.301 6.634 -3.678
2.132 1.557 8.467
4.562 5.775 5.220
0.664 4.237 2.192
3.216 7.661 -0.689
1.217 0.530 5.478
3.768 3.953 2.597
0.889 4.242 -2.607
1.542 -0.033 -0.636
3.980 4.134 -3.860
3.327 8.409 -5.830

=====

Record 4
PBE PrSn3Ir2, relaxed; Fermi-level density of states = 8.67 states/eV per cell; distance to the lowest polymorph of the same formula = 198 meV per atom; calculated formation energy = -235 meV per atom; size of the total moment = 0.00 μB/f.u.; energy = -0.4400 Ry per atom; density = 10.95 g/cm³
1.0
6.439 0.000 0.000
3.219 5.576 0.000
3.219 1.859 7.445
Pr Sn Ir
2 6 4
Cartesian
9.658 5.576 4.785
3.219 1.859 2.659
4.837 4.642 2.009
6.439 1.868 2.009
8.041 4.642 2.009
6.439 5.567 5.436
8.041 2.793 5.436
4.837 2.793 5.436
0.000 0.000 0.000
1.610 2.788 0.000
4.829 2.788 0.000
3.219 0.000 0.000

=====

Record 5
PBE Pr3SnIr, relaxed; Fermi-level density of states = 4.95 states/eV per cell; distance to the lowest polymorph of the same formula = 157 meV per atom; calculated formation energy = -391 meV per atom; size of the total moment = 0.00 μB/f.u.; energy = -0.4286 Ry per atom; density = 7.13 g/cm³
1.0
-2.122 -0.891 -5.049
-4.250 -2.750 2.272
-2.867 4.736 0.370
Pr Ir Sn
3 1 1
Cartesian
-2.125 -1.375 1.136
-1.434 2.368 0.185
-1.061 -0.445 -2.524
0.000 0.000 0.000
-4.620 0.547 -1.204

=====

Record 6
PBE Pr8SnIr2, relaxed; Fermi-level density of states = 13.61 states/eV per cell; calculated formation energy = -360 meV per atom; size of the total moment = 0.00 μB/f.u.; energy = -0.4271 Ry per atom; density = 7.87 g/cm³
1.0
5.678 -0.035 -0.053
-0.988 8.193 -0.192
-0.988 -3.333 7.487
Pr Sn Ir
8 1 2
Cartesian
3.725 5.312 4.826
3.725 2.408 6.761
0.515 2.951 4.429
1.851 5.299 1.698
1.851 -0.474 5.545
3.188 1.875 2.814
-0.022 2.418 0.482
-0.022 -0.487 2.417
2.839 -0.018 -0.026
-0.988 0.170 5.153
-0.988 4.690 2.142

=====

Record 7
PBE Pr2Sn3Ir, relaxed; Fermi-level density of states = 4.06 states/eV per cell; distance to the lowest polymorph of the same formula = 0 meV per atom; calculated formation energy = -650 meV per atom; size of the total moment = 0.00 μB/f.u.; energy = -0.4205 Ry per atom; density = 8.85 g/cm³
1.0
-4.038 -1.616 -1.921
-1.933 -5.226 2.575
-5.061 1.555 3.446
Pr Sn Ir
2 3 1
Cartesian
-6.173 -0.780 1.862
-4.925 -4.531 2.394
-7.971 -3.548 2.085
-4.394 -2.479 -0.447
-6.793 -2.736 4.810
-2.842 -1.787 1.593

=====

Record 8
PBE PrSn3Ir2, relaxed; Fermi-level density of states = 9.18 states/eV per cell; distance to the lowest polymorph of the same formula = 0 meV per atom; calculated formation energy = -433 meV per atom; size of the total moment = 0.00 μB/f.u.; energy = -0.4546 Ry per atom; density = 10.88 g/cm³
1.0
4.409 0.000 0.000
-2.204 8.424 -2.639
0.000 0.197 10.809
Pr Sn Ir
3 9 6
Cartesian
0.000 2.720 6.753
2.204 5.901 1.416
0.000 0.000 0.000
0.000 0.805 3.521
2.204 7.816 4.648
0.000 3.843 2.943
2.204 4.778 5.226
2.204 2.211 1.311
0.000 6.410 6.858
2.204 0.098 5.404
0.000 5.707 -1.097
2.204 2.914 9.266
0.000 3.379 0.215
2.204 5.242 7.954
0.000 8.184 -0.127
2.204 0.437 8.296
0.000 6.173 4.153
2.204 2.448 4.016

=====

Record 9
PBE Pr3SnIr, relaxed; Fermi-level density of states = 10.39 states/eV per cell; distance to the lowest polymorph of the same formula = 0 meV per atom; calculated formation energy = -548 meV per atom; size of the total moment = 0.00 μB/f.u.; energy = -0.4401 Ry per atom; density = 7.86 g/cm³
1.0
-3.569 -2.939 1.073
2.139 -0.063 6.943
-5.828 7.078 0.003
Pr Sn Ir
6 2 2
Cartesian
-3.733 0.558 4.859
-3.525 3.518 3.159
-7.669 4.527 2.636
-2.735 3.895 6.823
0.411 -0.451 5.382
-4.523 0.181 1.195
-1.355 0.653 2.530
-5.903 3.423 5.488
-1.285 1.750 5.768
-5.973 2.326 2.250

=====

Record 10
PBE Pr2Sn3Ir2, relaxed; Fermi-level density of states = 5.23 states/eV per cell; calculated formation energy = -606 meV per atom; size of the total moment = 0.00 μB/f.u.; energy = -0.4571 Ry per atom; density = 10.37 g/cm³
1.0
-0.602 4.298 0.894
-2.701 -1.636 -4.934
-3.874 -1.822 6.153
Pr Sn Ir
2 3 2
Cartesian
-3.214 2.129 -1.416
-3.962 -1.289 3.529
-0.301 2.149 0.447
-2.785 1.466 2.055
-4.391 -0.627 0.058
-5.491 1.085 2.068
-1.685 -0.245 0.045

=====

Record 11
PBE Pr2Sn6Ir, relaxed; Fermi-level density of states = 5.82 states/eV per cell; calculated formation energy = -340 meV per atom; size of the total moment = 0.00 μB/f.u.; energy = -0.3715 Ry per atom; density = 7.67 g/cm³
1.0
-4.132 -0.734 -0.772
0.975 -7.480 1.896
-2.159 5.396 6.426
Pr Sn Ir
2 6 1
Cartesian
-2.199 -3.491 3.301
-3.117 0.673 4.249
-4.463 -1.623 1.844
-1.465 3.489 4.521
-0.854 -1.195 5.706
-1.847 -2.050 0.041
-3.852 -6.307 3.029
-3.470 -0.768 7.509
0.000 0.000 0.000

=====

Record 12
PBE Pr2Sn2Ir, relaxed; Fermi-level density of states = 9.75 states/eV per cell; calculated formation energy = -608 meV per atom; size of the total moment = 0.48 μB/f.u.; energy = -0.4332 Ry per atom; density = 8.75 g/cm³
1.0
-5.101 -0.825 -3.343
-3.079 -2.073 5.210
2.134 7.873 0.466
Pr Sn Ir
4 4 2
Cartesian
-4.512 3.470 0.364
-1.534 1.504 1.969
-5.378 0.221 2.487
-0.668 4.754 -0.154
-2.611 4.736 2.815
-3.435 0.239 -0.482
-2.825 -0.655 4.472
-3.221 5.629 -2.138
-5.365 -1.655 0.098
-2.815 -1.243 1.769

=====

Record 13
PBE Pr3Sn4Ir2, relaxed; Fermi-level density of states = 4.74 states/eV per cell; distance to the lowest polymorph of the same formula = 44 meV per atom; calculated formation energy = -629 meV per atom; size of the total moment = 0.00 μB/f.u.; energy = -0.4388 Ry per atom; density = 9.25 g/cm³
1.0
4.549 0.000 1.214
1.888 5.527 2.057
-0.013 0.115 9.183
Pr Sn Ir
3 4 2
Cartesian
2.836 4.144 7.637
0.000 0.000 0.000
3.588 1.498 4.816
1.921 2.083 1.932
4.503 3.560 10.521
0.670 1.782 6.622
5.754 3.861 5.831
3.557 5.116 4.932
2.867 0.526 7.521

=====

Record 14
PBE Pr3Sn3Ir2, relaxed; Fermi-level density of states = 26.33 states/eV per cell; distance to the lowest polymorph of the same formula = 26 meV per atom; calculated formation energy = -714 meV per atom; size of the total moment = 0.00 μB/f.u.; energy = -0.4574 Ry per atom; density = 9.53 g/cm³
1.0
-3.299 -2.672 -4.307
-5.688 -2.464 5.885
-7.992 13.324 -2.146
Pr Sn Ir
12 12 8
Cartesian
-6.118 3.736 1.433
-7.093 6.432 -3.738
-13.076 8.145 -2.596
-7.670 -1.937 3.765
-10.861 4.453 -2.001
-9.885 1.756 3.170
-3.903 0.043 2.028
-9.308 10.125 -4.333
-5.952 0.829 -1.345
-7.421 9.208 -1.172
-11.026 7.359 0.777
-9.557 -1.019 0.604
-3.383 2.583 -0.025
-9.889 7.536 -2.360
-13.595 5.606 -0.543
-7.089 0.653 1.793
-7.538 3.790 -1.779
-5.690 6.365 -0.547
-12.888 10.145 0.286
-7.842 -3.923 0.905
-9.441 4.399 1.211
-11.289 1.823 -0.021
-4.091 -1.957 -0.854
-9.136 12.112 -1.473
-6.527 2.650 -4.011
-8.383 6.142 -0.512
-12.698 9.284 2.840
-6.349 -1.699 0.547
-10.451 5.539 3.444
-8.596 2.046 -0.056
-4.281 -1.096 -3.408
-10.629 9.888 -1.115

=====

Record 15
PBE Pr2Sn4Ir5, relaxed; Fermi-level density of states = 4.15 states/eV per cell; calculated formation energy = -399 meV per atom; size of the total moment = 0.00 μB/f.u.; energy = -0.4962 Ry per atom; density = 11.87 g/cm³
1.0
-5.411 1.696 -1.457
-4.037 0.759 4.111
-0.457 8.675 0.035
Pr Sn Ir
2 4 5
Cartesian
-4.900 3.476 -1.283
-0.969 6.895 -0.139
-4.174 7.465 0.665
-5.731 3.665 2.024
-2.551 2.849 1.026
-7.354 8.282 1.663
-2.706 0.848 -0.728
-2.018 0.379 2.055
-4.724 1.227 1.327
-3.600 5.141 1.709
-6.305 5.989 0.980

=====

Record 16
PBE PrSn2Ir, relaxed; Fermi-level density of states = 5.39 states/eV per cell; calculated formation energy = 89 meV per atom; size of the total moment = 0.00 μB/f.u.; energy = -0.3912 Ry per atom; density = 9.22 g/cm³
1.0
-0.781 -2.603 1.983
-0.752 -2.985 -1.360
9.595 -4.590 0.609
Pr Ir Sn
1 1 2
Cartesian
0.000 0.000 0.000
4.031 -5.089 0.616
6.446 -3.740 0.484
1.616 -6.438 0.749

=====

Record 17
PBE Pr3Sn4Ir2, relaxed; Fermi-level density of states = 5.17 states/eV per cell; distance to the lowest polymorph of the same formula = 0 meV per atom; calculated formation energy = -673 meV per atom; size of the total moment = 0.00 μB/f.u.; energy = -0.4420 Ry per atom; density = 9.25 g/cm³
1.0
-3.395 2.264 -2.228
-2.287 -4.310 3.956
1.622 7.248 4.893
Pr Sn Ir
3 4 2
Cartesian
-1.612 5.303 2.994
0.000 0.000 0.000
-2.448 -0.101 3.627
-3.201 0.404 0.438
-0.859 4.798 6.184
-3.989 2.926 4.202
-0.071 2.275 2.420
-2.651 2.626 1.857
-1.409 2.576 4.764

=====

Record 18
PBE Pr3Sn3Ir2, relaxed; Fermi-level density of states = 12.16 states/eV per cell; distance to the lowest polymorph of the same formula = 0 meV per atom; calculated formation energy = -740 meV per atom; size of the total moment = 0.00 μB/f.u.; energy = -0.4593 Ry per atom; density = 9.55 g/cm³
1.0
-3.939 -0.888 -2.285
3.717 -4.803 0.171
-6.634 -4.663 13.247
Pr Sn Ir
6 6 4
Cartesian
-3.065 -6.728 3.188
-5.641 -4.927 11.638
-1.215 -5.428 -0.506
-3.791 -3.626 7.944
-3.104 -3.183 1.878
-3.752 -7.172 9.254
-4.580 -4.064 4.764
-5.143 -8.306 12.094
-1.713 -2.048 -0.962
-2.276 -6.291 6.368
-0.429 -4.856 2.628
-6.427 -5.498 8.504
-6.850 -7.713 10.094
-1.888 -3.964 4.794
-4.968 -6.391 6.338
-0.006 -2.641 1.038

=====

Record 19
PBE Pr2Sn3Ir, relaxed; Fermi-level density of states = 2.77 states/eV per cell; distance to the lowest polymorph of the same formula = 81 meV per atom; calculated formation energy = -569 meV per atom; size of the total moment = 0.00 μB/f.u.; energy = -0.4146 Ry per atom; density = 8.51 g/cm³
1.0
-0.058 -0.985 4.067
2.684 -3.886 -0.902
6.676 4.345 1.148
Pr Sn Ir
2 3 1
Cartesian
1.567 -1.797 -0.413
3.272 2.130 0.562
5.525 3.122 2.988
1.192 0.302 2.244
5.614 0.364 2.322
3.431 -1.057 1.947

=====

Record 20
PBE Pr6SnIr2, relaxed; Fermi-level density of states = 15.29 states/eV per cell; calculated formation energy = -525 meV per atom; size of the total moment = 0.00 μB/f.u.; energy = -0.4502 Ry per atom; density = 8.38 g/cm³
1.0
-3.666 0.383 -8.079
8.521 -2.502 -0.029
-3.961 -6.160 5.022
Pr Sn Ir
12 2 4
Cartesian
0.841 -6.612 -0.145
0.053 -1.667 -2.941
-1.154 -5.741 3.186
2.047 -2.538 -6.272
1.367 -5.102 -3.633
-0.474 -3.177 0.547
1.965 -7.809 3.217
-1.071 -0.470 -6.303
-2.126 -4.748 -2.225
3.020 -3.531 -0.861
4.555 -6.447 0.819
-3.661 -1.832 -3.906
2.280 -4.331 2.497
0.000 0.000 0.000
-2.139 -6.069 0.305
3.033 -2.210 -3.391
-5.071 -3.841 -2.032
-2.557 -1.936 -1.025